A relaxed structure of ReRu4Pb, computed with GGA-PBE.

```
data_ReRu4Pb
_chemical_formula_sum 'Re4 Ru16 Pb4'
_space_group_name_H-M_alt 'F -4 3 m'
_space_group_IT_number 216
_space_group_name_Hall 'F -4 2 3'
_cell_length_a 7.2824
_cell_length_b 7.2824
_cell_length_c 7.2824
_cell_angle_alpha 90.00
_cell_angle_beta 90.00
_cell_angle_gamma 90.00
loop_
_atom_site_label
_atom_site_type_symbol
_atom_site_fract_x
_atom_site_fract_y
_atom_site_fract_z
Re1 Re 0.0000 0.0000 0.0000
Ru1 Ru 0.1254 0.1254 0.3746
Pb1 Pb 0.2500 0.2500 0.7500
```

## Properties
E = -8.109 eV per atom
V = 386 Å³/cell
Formation energy from the elements = 0.768 eV/atom
D(E_F) = 34.77 states/eV/cell



A relaxed structure of ReRuPb2, computed with GGA-PBE.

```
data_ReRuPb2
_chemical_formula_sum 'Re2 Ru2 Pb4'
_space_group_name_H-M_alt 'C m m m'
_space_group_IT_number 65
_space_group_name_Hall '-C 2 2'
_cell_length_a 3.3298
_cell_length_b 5.3859
_cell_length_c 8.8733
_cell_angle_alpha 90.00
_cell_angle_beta 90.00
_cell_angle_gamma 90.00
loop_
_atom_site_label
_atom_site_type_symbol
_atom_site_fract_x
_atom_site_fract_y
_atom_site_fract_z
Re1 Re 0.0000 0.0000 0.0000
Ru1 Ru 0.0000 0.0000 0.5000
Pb1 Pb 0.0000 0.5000 0.2556
```

## Properties
E = -6.246 eV per atom
V = 159 Å³/cell
Formation energy from the elements = 1.040 eV/atom
Offset from the most stable computed form = 680 meV per atom
D(E_F) = 9.99 states/eV/cell



A relaxed structure of ReRuPb2, computed with GGA-PBE.

```
data_ReRuPb2
_chemical_formula_sum 'Re2 Ru2 Pb4'
_space_group_name_H-M_alt 'I m m m'
_space_group_IT_number 71
_space_group_name_Hall '-I 2 2'
_cell_length_a 3.2956
_cell_length_b 5.4487
_cell_length_c 8.8773
_cell_angle_alpha 90.00
_cell_angle_beta 90.00
_cell_angle_gamma 90.00
loop_
_atom_site_label
_atom_site_type_symbol
_atom_site_fract_x
_atom_site_fract_y
_atom_site_fract_z
Re1 Re 0.0000 0.0000 0.0000
Ru1 Ru 0.0000 0.0000 0.5000
Pb1 Pb 0.0000 0.5000 0.2448
```

## Properties
E = -6.233 eV per atom
V = 159 Å³/cell
Formation energy from the elements = 1.052 eV/atom
Offset from the most stable computed form = 692 meV per atom
D(E_F) = 8.22 states/eV/cell



A relaxed structure of ReRuPb2, computed with GGA-PBE.

```
data_ReRuPb2
_chemical_formula_sum 'Re4 Ru4 Pb8'
_space_group_name_H-M_alt 'I -4 2 d'
_space_group_IT_number 122
_space_group_name_Hall 'I -4 2bw'
_cell_length_a 7.5858
_cell_length_b 7.5858
_cell_length_c 6.0615
_cell_angle_alpha 90.00
_cell_angle_beta 90.00
_cell_angle_gamma 90.00
loop_
_atom_site_label
_atom_site_type_symbol
_atom_site_fract_x
_atom_site_fract_y
_atom_site_fract_z
Re1 Re 0.0000 0.0000 0.0000
Ru1 Ru 0.0000 0.0000 0.5000
Pb1 Pb 0.2399 0.2500 0.6250
```

## Properties
E = -5.933 eV per atom
V = 349 Å³/cell
Formation energy from the elements = 1.352 eV/atom
Offset from the most stable computed form = 992 meV per atom
D(E_F) = 13.14 states/eV/cell



A relaxed structure of ReRuPb2, computed with GGA-PBE.

```
data_ReRuPb2
_chemical_formula_sum 'Re2 Ru2 Pb4'
_space_group_name_H-M_alt 'C 1 2/m 1'
_space_group_IT_number 12
_cell_length_a 8.8793
_cell_length_b 3.1723
_cell_length_c 5.6642
_cell_angle_alpha 90.00
_cell_angle_beta 102.29
_cell_angle_gamma 90.00
loop_
_space_group_symop_operation_xyz
'x,y,z'
'-x,-y,-z'
'-x,y,-z'
'x,-y,z'
'x+1/2,y+1/2,z'
'-x+1/2,-y+1/2,-z'
'-x+1/2,y+1/2,-z'
'x+1/2,-y+1/2,z'
loop_
_atom_site_label
_atom_site_type_symbol
_atom_site_fract_x
_atom_site_fract_y
_atom_site_fract_z
Re1 Re 0.0000 0.0000 0.0000
Ru1 Ru 0.0000 0.5000 0.5000
Pb1 Pb 0.2478 0.0000 0.7474
```

## Properties
E = -6.317 eV per atom
V = 156 Å³/cell
Formation energy from the elements = 0.968 eV/atom
Offset from the most stable computed form = 608 meV per atom
D(E_F) = 8.77 states/eV/cell



A relaxed structure of ReSbRuPb2, computed with GGA-PBE.

```
data_ReSbRuPb2
_chemical_formula_sum 'Re1 Sb1 Ru1 Pb2'
_space_group_name_H-M_alt 'P 4/m m m'
_space_group_IT_number 123
_space_group_name_Hall '-P 4 2'
_cell_length_a 5.2945
_cell_length_b 5.2945
_cell_length_c 4.7996
_cell_angle_alpha 90.00
_cell_angle_beta 90.00
_cell_angle_gamma 90.00
loop_
_atom_site_label
_atom_site_type_symbol
_atom_site_fract_x
_atom_site_fract_y
_atom_site_fract_z
Re1 Re 0.0000 0.0000 0.0000
Sb1 Sb 0.5000 0.5000 0.5000
Ru1 Ru 0.0000 0.0000 0.5000
Pb1 Pb 0.0000 0.5000 0.0000
```

## Properties
E = -5.614 eV per atom
V = 135 Å³/cell
Formation energy from raw total energies = 1.04 eV per atom
D(E_F) = 4.73 states/eV/cell